Density functional theory data (PBE+U) for LiFePO4F after structural relaxation.

```
data_LiFePO4F
_chemical_formula_sum 'Li2 Fe2 P2 O8 F2'
_space_group_name_H-M_alt 'P 1'
_space_group_IT_number 1
_cell_length_a 5.206
_cell_length_b 5.363
_cell_length_c 7.392
_cell_angle_alpha 106.68
_cell_angle_beta 108.84
_cell_angle_gamma 98.02
loop_
_space_group_symop_operation_xyz
'x,y,z'
loop_
_atom_site_label
_atom_site_type_symbol
_atom_site_fract_x
_atom_site_fract_y
_atom_site_fract_z
O1 O 0.877 0.336 0.114
Li1 Li 0.270 0.615 0.187
P1 P 0.321 0.642 0.764
O2 O 0.751 0.212 0.388
O3 O 0.631 0.759 0.918
O4 O 0.308 0.342 0.660
Fe1 Fe 0.000 0.000 0.500
F1 F 0.132 0.931 0.265
O5 O 0.249 0.788 0.612
O6 O 0.692 0.658 0.340
Fe2 Fe 0.000 0.000 0.000
O7 O 0.369 0.241 0.082
Li2 Li 0.730 0.385 0.813
P2 P 0.679 0.358 0.236
O8 O 0.123 0.664 0.886
F2 F 0.868 0.069 0.735
```

Computed properties:
Uncorrected energy: -52.414 eV/f.u.
Density of states at the Fermi level: 0.000 states/eV/atom
Crystal system: triclinic